# MgSc5Rh, relaxed, DFT PBE-GGA
# - Formation energy: -0.035 eV/atom
# - Crystal system: monoclinic
data_MgSc5Rh
_cell_length_a 9.1563
_cell_length_b 8.8356
_cell_length_c 9.2740
_cell_angle_alpha 90.00
_cell_angle_beta 113.04
_cell_angle_gamma 90.00
_symmetry_space_group_name_H-M 'C 1 2/c 1'
_symmetry_Int_Tables_number 15
_symmetry_space_group_name_Hall '-C 2yc'
loop_
_atom_site_label
_atom_site_type_symbol
_atom_site_fract_x
_atom_site_fract_y
_atom_site_fract_z
_atom_site_occupancy
Mg1 Mg 0.0000 0.0772 0.2500 1
Sc1 Sc 0.0000 0.3935 0.2500 1
Sc2 Sc 0.0986 0.2555 0.6596 1
Sc3 Sc 0.2337 0.4321 0.0084 1
Rh1 Rh 0.2500 0.2500 0.5000 1